MnPbO2: relaxed, GGA+U.

Cell and atoms, written as POSCAR:
```
MnPbO2
1.0
-1.612 2.892 -0.409
-0.804 1.014 -3.268
-5.068 -2.435 2.755
Pb O Mn
1 2 1
Direct
0.578 0.750 0.301 Pb
0.380 0.146 0.037 O
0.818 0.270 0.624 O
0.071 0.764 0.797 Mn
```

Calculated values
The density of states at the Fermi level comes out at 0.068 states/eV per cell. The value obtained for the total energy is -6.461 eV per atom. Its magnetic moment is 5.00 μB/f.u. As for the space group: Cm.